1.
Below is a relaxed NbFeCoB crystal, with properties calculated at the PBE level.

Lattice parameters (Å, degrees): 5.7113 5.7113 5.7113 90.00 90.00 90.00
Closest atoms and distances in Å follow each position.
Space group F-43m (No. 216)
Inequivalent atoms, fractional coordinates:
1 Nb 0.0000 0.0000 0.0000 x4  4 Co 2.47, 4 B 2.47
2 Fe 0.0000 0.0000 0.5000 x4  4 Co 2.47, 4 B 2.47
3 Co 0.2500 0.2500 0.7500 x4  4 Nb 2.47, 4 Fe 2.47
4 B 0.2500 0.2500 0.2500 x4  4 Fe 2.47, 4 Nb 2.47

Output
The energy above the most stable polymorph in this dataset is 52 meV/atom. The calculation puts the calculated total energy at -0.289 hartree per atom.



2.
Below is a relaxed NbFeCoB crystal, with properties calculated at the PBE level.

Lattice parameters (Å, degrees): 5.7110 5.7110 5.7110 90.00 90.00 90.00
Closest atoms and distances in Å follow each position.
Space group F-43m (No. 216)
Inequivalent atoms, fractional coordinates:
1 Nb 0.0000 0.0000 0.0000 x4  4 B 2.47, 4 Fe 2.47
2 Fe 0.2500 0.2500 0.7500 x4  4 Nb 2.47, 4 Co 2.47
3 Co 0.0000 0.0000 0.5000 x4  4 Fe 2.47, 4 B 2.47
4 B 0.2500 0.2500 0.2500 x4  4 Nb 2.47, 4 Co 2.47

Output
The energy above the most stable polymorph in this dataset is 27 meV/atom. The calculation puts the calculated total energy at -0.290 hartree per atom.



3.
Below is a relaxed FeCoNiB crystal, with properties calculated at the PBE level.

Lattice parameters (Å, degrees): 5.3399 5.3399 5.3399 90.00 90.00 90.00
Closest atoms and distances in Å follow each position.
Space group F-43m (No. 216)
Inequivalent atoms, fractional coordinates:
1 Fe 0.0000 0.0000 0.0000 x4  4 B 2.31, 4 Ni 2.31
2 Co 0.0000 0.0000 0.5000 x4  4 Ni 2.31, 4 B 2.31
3 Ni 0.2500 0.2500 0.2500 x4  4 Fe 2.31, 4 Co 2.31
4 B 0.2500 0.2500 0.7500 x4  4 Fe 2.31, 4 Co 2.31

Output
The energy above the most stable polymorph in this dataset is 22 meV/atom. The calculation puts the calculated total energy at -0.248 hartree per atom.



4.
Below is a relaxed FeCoNiB crystal, with properties calculated at the PBE level.

Lattice parameters (Å, degrees): 5.3886 5.3886 5.3886 90.00 90.00 90.00
Closest atoms and distances in Å follow each position.
Space group F-43m (No. 216)
Inequivalent atoms, fractional coordinates:
1 Fe 0.0000 0.0000 0.0000 x4  4 Ni 2.33, 4 Co 2.33
2 Co 0.2500 0.2500 0.7500 x4  4 Fe 2.33, 4 B 2.33
3 Ni 0.2500 0.2500 0.2500 x4  4 B 2.33, 4 Fe 2.33
4 B 0.0000 0.0000 0.5000 x4  4 Co 2.33, 4 Ni 2.33

Output
The energy above the most stable polymorph in this dataset is 0 meV/atom. The calculation puts the calculated total energy at -0.249 hartree per atom.